## MnO (GGA+U)

Data for crystalline MnO at its relaxed geometry.

Results
The calculated total energy is -31.178 eV per cell. For the density of states at the Fermi level, the calculation gives 0.1 states/eV/f.u. Its symmetry is P6_3mc, No. 186.

```
MnO
1.0
-1.135 1.045 -3.130
-2.214 -0.168 2.692
1.177 5.139 1.289
Mn O
2 2
Cartesian
-0.988 4.019 1.700
-1.217 1.854 -0.885
-1.447 2.013 1.197
-0.499 4.987 -0.099
```